Entry 1:
CeTlPdPb | Alexandria via LeMat-Bulk | PBE | optimized geometry; E_form = -312 meV/atom; electronic total energy = -0.1695 hartree per atom
1.0
-3.651 3.687 -0.470
-4.965 -1.341 -0.833
-3.542 0.654 3.765
Pd Pb Ce Tl
1 1 1 1
Direct
0.500 0.500 0.500
0.750 0.750 0.750
0.250 0.250 0.250
0.000 0.000 0.000

Entry 2:
Ac3GaNi8 | Alexandria via LeMat-Bulk | PBE | optimized geometry; E_form = -198 meV/atom; electronic total energy = -0.1959 hartree per atom
1.0
-4.541 2.257 -1.455
-4.560 -1.689 2.046
-2.270 5.810 6.535
Ni Ac Ga
8 3 1
Direct
0.436 0.946 0.183
0.436 0.436 0.183
0.942 0.438 0.677
0.942 0.942 0.677
0.690 0.690 0.931
0.191 0.191 0.427
0.438 0.942 0.677
0.946 0.436 0.183
0.985 0.985 0.045
0.379 0.379 0.862
0.511 0.511 0.467
0.854 0.854 0.438

Entry 3:
Ba2PPbS | Alexandria via LeMat-Bulk | PBE | optimized geometry; energy relative to the elements, uncorrected = -582 meV per atom; electronic total energy = -0.1470 hartree per atom
1.0
6.200 0.000 0.000
0.000 5.025 0.000
0.000 0.000 6.200
Pb P Ba S
1 1 2 1
Direct
0.000 0.500 0.000
0.000 0.000 0.000
0.000 0.000 0.500
0.500 0.000 0.000
0.500 0.500 0.500

Entry 4:
AlCr3 | Alexandria via LeMat-Bulk | PBE | optimized geometry; E_form = 137 meV/atom; electronic total energy = -0.2946 hartree per atom
1.0
4.911 0.000 0.000
0.000 4.986 0.000
0.000 0.000 8.119
Al Cr
4 12
Direct
0.733 0.967 0.750
0.267 0.033 0.250
0.233 0.533 0.250
0.767 0.467 0.750
0.454 0.748 0.995
0.764 0.927 0.250
0.046 0.248 0.995
0.546 0.252 0.495
0.046 0.248 0.505
0.236 0.073 0.750
0.454 0.748 0.505
0.954 0.752 0.005
0.264 0.573 0.750
0.736 0.427 0.250
0.954 0.752 0.495
0.546 0.252 0.005

Entry 5:
Li2CdCl | Alexandria via LeMat-Bulk | PBE | optimized geometry; energy relative to the elements, uncorrected = -722 meV per atom; ΔE to the lowest computed polymorph = 0.150 eV/atom; electronic total energy = -0.0871 hartree per atom
1.0
5.718 0.003 -0.011
0.842 5.655 0.011
-1.783 -4.565 2.945
Cd Li Cl
1 2 1
Direct
0.750 0.250 0.500
0.056 0.056 0.000
0.444 0.444 0.000
0.250 0.750 0.500

Entry 6:
HgAsI2O | Alexandria via LeMat-Bulk | PBE | optimized geometry; energy relative to the elements, uncorrected = 581 meV per atom; ΔE to the lowest computed polymorph = 0.721 eV/atom; electronic total energy = -0.0743 hartree per atom
1.0
5.957 0.000 0.000
0.000 5.957 0.000
0.000 0.000 4.035
Hg I As O
1 2 1 1
Direct
0.000 0.000 0.000
0.000 0.500 0.000
0.500 0.000 0.000
0.500 0.500 0.500
0.000 0.000 0.500

Entry 7:
Nd6Sn3Te | Alexandria via LeMat-Bulk | PBE | optimized geometry; energy relative to the elements, uncorrected = -625 meV per atom; electronic total energy = -0.1838 hartree per atom
1.0
-1.346 1.513 -7.537
-8.982 -3.352 0.931
-0.806 9.382 2.027
Sn Nd Te
6 12 2
Direct
0.854 0.581 0.419
0.985 0.717 0.934
0.985 0.066 0.283
0.354 0.419 0.581
0.485 0.283 0.066
0.485 0.934 0.717
0.732 0.548 0.097
0.232 0.452 0.903
0.732 0.903 0.452
0.755 0.000 0.000
0.232 0.097 0.548
0.140 0.743 0.257
0.649 0.637 0.723
0.255 0.000 0.000
0.149 0.363 0.277
0.640 0.257 0.743
0.149 0.723 0.637
0.649 0.277 0.363
0.504 0.833 0.167
0.004 0.167 0.833

Entry 8:
ErAlZn4 | Alexandria via LeMat-Bulk | PBE | optimized geometry; ΔE to the lowest computed polymorph = 0.000 eV/atom; E_form = -128 meV/atom; electronic total energy = -0.0868 hartree per atom
1.0
5.307 0.000 0.000
2.653 4.596 0.000
2.653 1.532 4.333
Zn Er Al
4 1 1
Direct
0.625 0.625 0.126
0.625 0.625 0.625
0.625 0.126 0.625
0.126 0.625 0.625
0.250 0.250 0.250
0.000 0.000 0.000

Entry 9:
TbGaRh3 | Alexandria via LeMat-Bulk | PBE | optimized geometry; E_form = 9 meV/atom; electronic total energy = -0.2180 hartree per atom
1.0
4.948 0.000 0.000
0.000 7.810 -0.743
0.000 -4.198 6.627
Rh Ga Tb
6 2 2
Direct
0.250 0.747 0.625
0.500 0.000 0.000
0.750 0.625 0.747
0.250 0.375 0.253
0.000 0.000 0.000
0.750 0.253 0.375
0.250 0.159 0.841
0.750 0.841 0.159
0.750 0.619 0.381
0.250 0.381 0.619

Entry 10:
AgSb | Alexandria via LeMat-Bulk | PBE | optimized geometry; energy relative to the elements, uncorrected = 447 meV per atom; ΔE to the lowest computed polymorph = 0.368 eV/atom; electronic total energy = -0.1117 hartree per atom
1.0
-0.818 -5.176 5.639
6.055 -3.907 -2.708
4.683 4.148 4.486
Sb Ag
6 6
Direct
0.000 0.750 0.500
0.500 0.000 0.250
0.000 0.250 0.500
0.250 0.500 0.000
0.750 0.500 0.000
0.500 0.000 0.750
0.000 0.500 0.750
0.500 0.750 0.000
0.250 0.000 0.500
0.000 0.500 0.250
0.750 0.000 0.500
0.500 0.250 0.000

Entry 11:
PmCd2In | Alexandria via LeMat-Bulk | PBE | optimized geometry; ΔE to the lowest computed polymorph = 0.063 eV/atom; E_form = -284 meV/atom; electronic total energy = -0.0961 hartree per atom
1.0
-3.224 0.956 -3.399
2.211 -3.045 -2.953
-2.050 -2.264 4.670
In Pm Cd
1 1 2
Direct
0.000 0.500 0.000
0.500 0.000 0.000
0.250 0.250 0.500
0.750 0.750 0.500

Entry 12:
Er2PuSe | Alexandria via LeMat-Bulk | PBE | optimized geometry; energy relative to the elements, uncorrected = -594 meV per atom; ΔE to the lowest computed polymorph = 0.000 eV/atom; electronic total energy = -0.2693 hartree per atom
1.0
-2.586 0.383 2.358
-2.110 -1.995 -1.990
2.623 -6.735 3.970
Pu Se Er
1 1 2
Direct
0.500 0.500 0.000
0.500 0.500 0.500
0.000 0.000 0.285
0.000 0.000 0.715

Entry 13:
Dy3TmAg2 | Alexandria via LeMat-Bulk | PBE | optimized geometry; ΔE to the lowest computed polymorph = 0.003 eV/atom; E_form = -198 meV/atom; electronic total energy = -0.1542 hartree per atom
1.0
-1.071 2.237 -2.621
-2.354 -2.479 -1.154
-8.507 4.622 7.421
Ag Dy Tm
2 3 1
Direct
0.500 0.500 0.150
0.500 0.500 0.850
0.000 0.000 0.301
0.000 0.000 0.699
0.000 0.000 0.000
0.500 0.500 0.500

Entry 14:
Ba2Fe | Alexandria via LeMat-Bulk | PBE | optimized geometry; E_form = 681 meV/atom; electronic total energy = -0.1257 hartree per atom
1.0
3.015 4.727 -1.386
-5.488 -0.532 -1.719
-2.414 3.485 6.631
Ba Fe
4 2
Direct
0.000 0.000 0.000
0.333 0.667 0.250
0.000 0.000 0.500
0.667 0.333 0.750
0.667 0.333 0.250
0.333 0.667 0.750

Entry 15:
ZrTe3PdPb | Alexandria via LeMat-Bulk | PBE | optimized geometry; energy relative to the elements, uncorrected = -617 meV per atom; electronic total energy = -0.1873 hartree per atom
1.0
-1.080 2.884 2.732
-5.333 -5.364 3.554
9.170 -1.240 4.933
Te Pb Zr Pd
6 2 2 2
Direct
0.750 0.271 0.557
0.250 0.729 0.443
0.250 0.090 0.879
0.750 0.910 0.121
0.750 0.422 0.138
0.250 0.578 0.862
0.250 0.173 0.318
0.750 0.827 0.682
0.250 0.682 0.165
0.750 0.318 0.835
0.750 0.929 0.383
0.250 0.071 0.617

Entry 16:
LiDyInPb | Alexandria via LeMat-Bulk | PBE | optimized geometry; ΔE to the lowest computed polymorph = 0.000 eV/atom; E_form = -405 meV/atom; electronic total energy = -0.1340 hartree per atom
1.0
4.454 0.000 0.000
0.000 4.637 0.000
0.000 0.000 4.715
Pb In Dy Li
1 1 1 1
Direct
0.000 0.500 0.500
0.000 0.000 0.000
0.500 0.000 0.500
0.500 0.500 0.000

Entry 17:
La6PmIr4 | Alexandria via LeMat-Bulk | PBE | optimized geometry; E_form = -486 meV/atom; electronic total energy = -0.2509 hartree per atom
1.0
0.274 3.602 -5.044
5.814 -1.871 -0.994
-6.596 -6.703 -1.343
Ir Pm La
4 1 6
Direct
0.362 0.914 0.289
0.072 0.086 0.710
0.605 0.659 0.727
0.883 0.341 0.274
0.997 0.998 0.998
0.547 0.124 0.660
0.055 0.554 0.622
0.165 0.500 0.000
0.887 0.876 0.339
0.433 0.446 0.378
0.493 0.003 0.001

Entry 18:
Ag3As | Alexandria via LeMat-Bulk | PBE | optimized geometry; E_form = 178 meV/atom; electronic total energy = -0.1147 hartree per atom
1.0
5.319 0.000 0.000
0.000 5.319 0.000
0.000 0.000 5.319
Ag As
6 2
Direct
0.000 0.750 0.500
0.750 0.500 0.000
0.500 0.000 0.250
0.500 0.000 0.750
0.250 0.500 0.000
0.000 0.250 0.500
0.000 0.000 0.000
0.500 0.500 0.500

Entry 19:
KEuAs | Alexandria via LeMat-Bulk | PBE | optimized geometry; E_form = -685 meV/atom; electronic total energy = -0.2214 hartree per atom
1.0
5.309 0.000 0.000
2.654 4.597 0.000
2.654 1.532 4.335
Eu K As
1 1 1
Direct
0.000 0.000 0.000
0.500 0.500 0.500
0.250 0.250 0.250

Entry 20:
ReNi2SnN | Alexandria via LeMat-Bulk | PBE | optimized geometry; energy relative to the elements, uncorrected = 183 meV per atom; electronic total energy = -0.2604 hartree per atom
1.0
4.030 0.000 0.000
0.000 4.030 0.000
0.000 0.000 3.982
Sn Ni N Re
1 2 1 1
Direct
0.500 0.500 0.500
0.000 0.500 0.000
0.500 0.000 0.000
0.000 0.000 0.000
0.000 0.000 0.500

Entry 21:
Li2PdPb2 | Alexandria via LeMat-Bulk | PBE | optimized geometry; E_form = -209 meV/atom; electronic total energy = -0.1285 hartree per atom
1.0
-0.534 -6.132 -2.955
3.822 2.182 -5.219
3.486 -1.277 2.019
Pd Pb Li
2 4 4
Direct
0.500 0.500 0.000
0.000 0.000 0.000
0.174 0.674 0.500
0.674 0.826 0.500
0.326 0.174 0.500
0.826 0.326 0.500
0.639 0.139 0.000
0.139 0.361 0.000
0.861 0.639 0.000
0.361 0.861 0.000

Entry 22:
LiScAg3 | Alexandria via LeMat-Bulk | PBE | optimized geometry; ΔE to the lowest computed polymorph = 0.000 eV/atom; E_form = -93 meV/atom; electronic total energy = -0.1269 hartree per atom
1.0
-0.638 1.611 -4.417
-5.458 -2.418 -0.094
-2.907 6.569 -0.183
Ag Sc Li
6 2 2
Direct
0.175 0.997 0.128
0.065 0.750 0.487
0.825 0.003 0.872
0.175 0.503 0.128
0.825 0.497 0.872
0.935 0.250 0.513
0.587 0.250 0.267
0.413 0.750 0.733
0.654 0.750 0.206
0.346 0.250 0.794

Entry 23:
ThCu2Hg | Alexandria via LeMat-Bulk | PBE | optimized geometry; E_form = 32 meV/atom; electronic total energy = -0.1450 hartree per atom
1.0
-1.434 2.993 -0.615
-0.926 -1.073 -3.063
-5.995 -2.333 2.629
Cu Hg Th
2 1 1
Direct
0.000 0.000 0.213
0.000 0.000 0.787
0.500 0.500 0.000
0.500 0.500 0.500

Entry 24:
TePt3Br | Alexandria via LeMat-Bulk | PBE | optimized geometry; energy relative to the elements, uncorrected = 1087 meV per atom; ΔE to the lowest computed polymorph = 0.167 eV/atom; electronic total energy = -0.1286 hartree per atom
1.0
-0.521 1.301 -4.620
-1.175 -4.540 -1.146
-4.653 1.001 0.806
Br Te Pt
1 1 3
Direct
0.000 0.000 0.000
0.500 0.500 0.500
0.000 0.500 0.000
0.000 0.000 0.500
0.500 0.000 0.000

Entry 25:
Rb2LiBr6F | Alexandria via LeMat-Bulk | PBE | optimized geometry; energy relative to the elements, uncorrected = -846 meV per atom; electronic total energy = -0.0890 hartree per atom
1.0
8.021 0.000 0.000
0.000 8.021 0.000
4.011 4.011 5.122
Br Li F Rb
6 1 1 2
Direct
0.209 0.209 0.583
0.280 0.280 0.000
0.720 0.720 0.000
0.720 0.280 0.000
0.280 0.720 0.000
0.791 0.791 0.417
0.500 0.500 0.000
0.000 0.000 0.000
0.750 0.250 0.500
0.250 0.750 0.500